The following is a PBE-GGA calculation of an optimized crystal structure of Ho2ZnCo, from the Alexandria database.

Formation enthalpy at 0 K ... -266.1 meV/atom
ρ ... 8.88 Mg/m³
Final energy ... -4.650 eV per atom

Cell lengths 5.877, 3.928, 7.868 Å; angles 90.00, 110.73, 90.00 degrees
Atoms (fractional coordinates):
Ho: 0.206 0.250 0.443
Ho: 0.217 0.250 0.913
Ho: 0.783 0.750 0.087
Ho: 0.794 0.750 0.557
Zn: 0.363 0.750 0.218
Zn: 0.637 0.250 0.782
Co: 0.339 0.750 0.715
Co: 0.661 0.250 0.285

---

The following is a PBE-GGA calculation of an optimized crystal structure of ErMnCl6, from the Alexandria database.

ρ ... 3.55 Mg/m³
Final energy ... -4.618 eV per atom

Cell lengths 6.837, 6.837, 6.837 Å; angles 55.64, 55.64, 55.64 degrees
Atoms (fractional coordinates):
Er: 0.000 0.000 0.000
Mn: 0.500 0.500 0.500
Cl: 0.117 0.410 0.734
Cl: 0.266 0.883 0.590
Cl: 0.410 0.734 0.117
Cl: 0.590 0.266 0.883
Cl: 0.734 0.117 0.410
Cl: 0.883 0.590 0.266